# 1
! ErPu2Cu9 | Alexandria | PBE | optimized geometry; values from VASP
&SYSTEM
  ibrav = 0, nat = 12, ntyp = 3
/
ATOMIC_SPECIES
Cu 63.55 Cu.upf
Er 167.26 Er.upf
Pu 244.00 Pu.upf
ATOMIC_POSITIONS crystal
Cu 0.579 0.084 0.759
Er 0.000 0.000 0.000
Cu 0.084 0.579 0.759
Cu 0.916 0.421 0.241
Pu 0.853 0.853 0.440
Cu 0.421 0.421 0.241
Cu 0.421 0.916 0.241
Cu 0.668 0.668 0.995
Cu 0.332 0.332 0.005
Cu 0.500 0.500 0.500
Cu 0.579 0.579 0.759
Pu 0.147 0.147 0.560
CELL_PARAMETERS angstrom
5.110 0.000 0.000
2.555 4.425 0.000
2.555 1.475 8.382
! Calculated formation energy   -0.105 eV/atom


# 2
! ErPu3Cu8 | Alexandria | PBE | optimized geometry; values from VASP
&SYSTEM
  ibrav = 0, nat = 12, ntyp = 3
/
ATOMIC_SPECIES
Cu 63.55 Cu.upf
Er 167.26 Er.upf
Pu 244.00 Pu.upf
ATOMIC_POSITIONS crystal
Cu 0.168 0.336 0.254
Cu 0.002 0.501 0.746
Er 0.000 0.000 0.560
Pu 0.000 0.000 0.950
Cu 0.333 0.667 0.501
Cu 0.168 0.832 0.254
Pu 0.667 0.333 0.435
Cu 0.333 0.667 0.001
Cu 0.664 0.832 0.254
Cu 0.499 0.501 0.746
Pu 0.667 0.333 0.053
Cu 0.499 0.998 0.746
CELL_PARAMETERS angstrom
5.231 0.000 0.000
-2.616 4.530 0.000
0.000 0.000 8.496
! Calculated formation energy   -0.082 eV/atom


# 3
! Er2PuCu | Alexandria | PBE | optimized geometry; values from VASP
&SYSTEM
  ibrav = 0, nat = 4, ntyp = 3
/
ATOMIC_SPECIES
Pu 244.00 Pu.upf
Er 167.26 Er.upf
Cu 63.55 Cu.upf
ATOMIC_POSITIONS crystal
Pu 0.500 0.500 0.500
Er 0.000 0.000 0.798
Er 0.000 0.000 0.202
Cu 0.500 0.500 0.000
CELL_PARAMETERS angstrom
3.420 0.000 0.000
0.000 3.420 0.000
0.000 0.000 8.485
! Calculated formation energy   -0.036 eV/atom
! Energy above the most stable polymorph in this dataset   0.000 eV per formula unit


# 4
! Er2PuCu9 | Alexandria | PBE | optimized geometry; values from VASP
&SYSTEM
  ibrav = 0, nat = 12, ntyp = 3
/
ATOMIC_SPECIES
Cu 63.55 Cu.upf
Er 167.26 Er.upf
Pu 244.00 Pu.upf
ATOMIC_POSITIONS crystal
Cu 0.583 0.583 0.752
Cu 0.417 0.918 0.248
Cu 0.918 0.417 0.248
Er 0.858 0.858 0.426
Cu 0.333 0.333 0.002
Pu 0.000 0.000 0.000
Cu 0.500 0.500 0.500
Cu 0.667 0.667 0.998
Cu 0.417 0.417 0.248
Cu 0.082 0.583 0.752
Er 0.142 0.142 0.574
Cu 0.583 0.082 0.752
CELL_PARAMETERS angstrom
4.978 0.000 1.482
2.269 4.431 1.482
0.119 0.073 8.704
! Calculated formation energy   -0.127 eV/atom


# 5
! ErPuCuRh | Alexandria | PBE | optimized geometry; values from VASP
&SYSTEM
  ibrav = 0, nat = 4, ntyp = 4
/
ATOMIC_SPECIES
Pu 244.00 Pu.upf
Rh 102.91 Rh.upf
Cu 63.55 Cu.upf
Er 167.26 Er.upf
ATOMIC_POSITIONS crystal
Pu 0.500 0.500 0.500
Rh 0.750 0.750 0.750
Cu 0.250 0.250 0.250
Er 0.000 0.000 0.000
CELL_PARAMETERS angstrom
4.866 0.000 0.000
2.433 4.214 0.000
2.433 1.405 3.973
! Calculated formation energy   -0.348 eV/atom


# 6
! ErPu2CuS5 | Alexandria | PBE | optimized geometry; values from VASP
&SYSTEM
  ibrav = 0, nat = 18, ntyp = 4
/
ATOMIC_SPECIES
S 32.06 S.upf
Pu 244.00 Pu.upf
Er 167.26 Er.upf
Cu 63.55 Cu.upf
ATOMIC_POSITIONS crystal
S 0.303 0.606 0.688
S 0.687 0.374 0.859
S 0.984 0.969 0.519
S 0.346 0.693 0.018
Pu 0.110 0.219 0.347
Pu 0.116 0.232 0.692
Pu 0.884 0.768 0.192
S 0.016 0.031 0.019
S 0.654 0.307 0.518
S 0.697 0.394 0.188
S 0.313 0.626 0.359
Er 0.182 0.364 0.026
S 0.505 0.009 0.249
Cu 0.448 0.896 0.425
Cu 0.552 0.104 0.925
S 0.495 0.991 0.749
Er 0.818 0.636 0.526
Pu 0.890 0.781 0.847
CELL_PARAMETERS angstrom
3.824 0.000 0.000
-1.912 8.173 0.000
0.000 0.000 11.671
! Raw formation energy   -147 kJ/mol of atoms


# 7
! ErPu2Cu2Si2 | Alexandria | PBE | optimized geometry; values from VASP
&SYSTEM
  ibrav = 0, nat = 7, ntyp = 4
/
ATOMIC_SPECIES
Cu 63.55 Cu.upf
Pu 244.00 Pu.upf
Er 167.26 Er.upf
Si 28.09 Si.upf
ATOMIC_POSITIONS crystal
Cu 0.407 0.407 0.780
Cu 0.593 0.593 0.220
Pu 0.150 0.150 0.551
Er 0.000 0.000 0.000
Si 0.258 0.258 0.225
Pu 0.850 0.850 0.449
Si 0.742 0.742 0.775
CELL_PARAMETERS angstrom
3.953 0.000 0.000
1.977 3.423 0.000
1.977 1.141 8.793
! Raw formation energy   -34 kJ/mol of atoms


# 8
! ErPuTlCu | Alexandria | PBE | optimized geometry; values from VASP
&SYSTEM
  ibrav = 0, nat = 4, ntyp = 4
/
ATOMIC_SPECIES
Tl 204.38 Tl.upf
Er 167.26 Er.upf
Cu 63.55 Cu.upf
Pu 244.00 Pu.upf
ATOMIC_POSITIONS crystal
Tl 0.500 0.500 0.500
Er 0.750 0.750 0.750
Cu 0.000 0.000 0.000
Pu 0.250 0.250 0.250
CELL_PARAMETERS angstrom
5.186 0.000 0.000
2.593 4.491 0.000
2.593 1.497 4.234
! Calculated formation energy   -0.018 eV/atom


# 9
! RbEr2Cu3S5 | Alexandria | PBE | optimized geometry; values from VASP
&SYSTEM
  ibrav = 0, nat = 22, ntyp = 4
/
ATOMIC_SPECIES
Er 167.26 Er.upf
S 32.06 S.upf
Cu 63.55 Cu.upf
Rb 85.47 Rb.upf
ATOMIC_POSITIONS crystal
Er 0.308 0.692 0.907
Er 0.692 0.308 0.093
S 0.262 0.738 0.750
S 0.669 0.331 0.570
Cu 0.846 0.154 0.750
S 0.062 0.938 0.387
Er 0.692 0.308 0.407
Cu 0.916 0.084 0.463
S 0.938 0.062 0.887
Cu 0.084 0.916 0.537
Cu 0.154 0.846 0.250
Cu 0.916 0.084 0.037
Rb 0.435 0.565 0.250
S 0.738 0.262 0.250
S 0.331 0.669 0.430
S 0.938 0.062 0.613
Cu 0.084 0.916 0.963
S 0.062 0.938 0.113
Er 0.308 0.692 0.593
S 0.669 0.331 0.930
S 0.331 0.669 0.070
Rb 0.565 0.435 0.750
CELL_PARAMETERS angstrom
-1.742 -5.430 4.466
4.994 4.675 -2.381
-4.763 10.879 11.369
! Raw formation energy   -120 kJ/mol of atoms


# 10
! RbErCuS2 | Alexandria | PBE | optimized geometry; values from VASP
&SYSTEM
  ibrav = 0, nat = 10, ntyp = 4
/
ATOMIC_SPECIES
Rb 85.47 Rb.upf
S 32.06 S.upf
Cu 63.55 Cu.upf
Er 167.26 Er.upf
ATOMIC_POSITIONS crystal
Rb 0.165 0.500 0.750
Rb 0.835 0.500 0.250
S 0.327 0.219 0.034
S 0.673 0.219 0.534
Cu 0.000 0.000 0.000
Cu 0.000 0.000 0.500
S 0.327 0.781 0.466
Er 0.506 0.000 0.750
S 0.673 0.781 0.966
Er 0.494 0.000 0.250
CELL_PARAMETERS angstrom
-1.208 3.563 -2.705
-4.823 2.502 5.449
6.457 3.816 2.144
! Raw formation energy   -105 kJ/mol of atoms


# 11
! RbEr2CuS4 | Alexandria | PBE | optimized geometry; values from VASP
&SYSTEM
  ibrav = 0, nat = 16, ntyp = 4
/
ATOMIC_SPECIES
S 32.06 S.upf
Er 167.26 Er.upf
Cu 63.55 Cu.upf
Rb 85.47 Rb.upf
ATOMIC_POSITIONS crystal
S 0.259 0.519 0.107
Er 0.366 0.732 0.562
Er 0.634 0.268 0.438
S 0.741 0.481 0.607
Er 0.634 0.268 0.062
S 0.000 0.000 0.000
Cu 0.166 0.331 0.250
Rb 0.892 0.784 0.250
S 0.259 0.519 0.393
S 0.741 0.481 0.893
Cu 0.834 0.669 0.750
S 0.425 0.850 0.750
S 0.000 0.000 0.500
S 0.575 0.150 0.250
Rb 0.108 0.216 0.750
Er 0.366 0.732 0.938
CELL_PARAMETERS angstrom
3.954 0.000 0.000
-1.977 6.845 0.000
0.000 0.000 13.724
! Raw formation energy   -159 kJ/mol of atoms


# 12
! RbErCu2Sb2 | Alexandria | PBE | optimized geometry; values from VASP
&SYSTEM
  ibrav = 0, nat = 6, ntyp = 4
/
ATOMIC_SPECIES
Sb 121.76 Sb.upf
Cu 63.55 Cu.upf
Rb 85.47 Rb.upf
Er 167.26 Er.upf
ATOMIC_POSITIONS crystal
Sb 0.333 0.667 0.706
Cu 0.667 0.333 0.668
Rb 0.000 0.000 0.000
Sb 0.667 0.333 0.294
Cu 0.333 0.667 0.332
Er 0.000 0.000 0.500
CELL_PARAMETERS angstrom
4.464 0.000 0.000
-2.232 3.866 0.000
0.000 0.000 9.382
! Raw formation energy   -52 kJ/mol of atoms


- Number 4 is which compound?
  Er2PuCu9


Copy entry 9 word for word.
! RbEr2Cu3S5 | Alexandria | PBE | optimized geometry; values from VASP
&SYSTEM
  ibrav = 0, nat = 22, ntyp = 4
/
ATOMIC_SPECIES
Er 167.26 Er.upf
S 32.06 S.upf
Cu 63.55 Cu.upf
Rb 85.47 Rb.upf
ATOMIC_POSITIONS crystal
Er 0.308 0.692 0.907
Er 0.692 0.308 0.093
S 0.262 0.738 0.750
S 0.669 0.331 0.570
Cu 0.846 0.154 0.750
S 0.062 0.938 0.387
Er 0.692 0.308 0.407
Cu 0.916 0.084 0.463
S 0.938 0.062 0.887
Cu 0.084 0.916 0.537
Cu 0.154 0.846 0.250
Cu 0.916 0.084 0.037
Rb 0.435 0.565 0.250
S 0.738 0.262 0.250
S 0.331 0.669 0.430
S 0.938 0.062 0.613
Cu 0.084 0.916 0.963
S 0.062 0.938 0.113
Er 0.308 0.692 0.593
S 0.669 0.331 0.930
S 0.331 0.669 0.070
Rb 0.565 0.435 0.750
CELL_PARAMETERS angstrom
-1.742 -5.430 4.466
4.994 4.675 -2.381
-4.763 10.879 11.369
! Raw formation energy   -120 kJ/mol of atoms